1.
The following is a DFT calculation (SCAN) of a crystal of BrCl2 relaxed with PBEsol.

a b c (Å): 3.3551 4.6030 4.6030
angles (deg): 90.00 90.00 90.00
Positions (direct):
Br1 0.0000 0.0000 0.0000
Cl1 0.5000 0.0000 0.5000
Cl2 0.5000 0.5000 0.0000

Values from the calculation:
- Space group: No. 123
- Crystal system: tetragonal
- Fermi-level density of states: 2.3 states/eV per cell

2.
The following is a DFT calculation (SCAN) of a crystal of BrCl relaxed with PBEsol.

a b c (Å): 4.0797 4.0797 7.6834
angles (deg): 90.00 90.00 109.22
Positions (direct):
Br1 0.0000 0.0000 0.5000
Br2 0.0000 0.0000 0.0000
Cl1 0.7013 0.7013 0.2500
Cl2 0.2987 0.2987 0.7500

Values from the calculation:
- Space group: No. 63
- Crystal system: orthorhombic
- Fermi-level density of states: 0.0 states/eV per cell

3.
The following is a DFT calculation (SCAN) of a crystal of BrCl relaxed with PBEsol.

a b c (Å): 3.6289 3.6289 6.6692
angles (deg): 90.00 90.00 90.00
Positions (direct):
Br1 0.5000 0.0000 0.8806
Br2 0.0000 0.5000 0.1194
Cl1 0.5000 0.0000 0.3500
Cl2 0.0000 0.5000 0.6500

Values from the calculation:
- Space group: No. 129
- Crystal system: tetragonal
- Fermi-level density of states: 5.1 states/eV per cell

4.
The following is a DFT calculation (SCAN) of a crystal of BrCl2 relaxed with PBEsol.

a b c (Å): 4.0995 4.5211 11.5238
angles (deg): 90.00 100.25 90.00
Positions (direct):
Br1 0.8117 0.7500 0.6235
Br2 0.1883 0.2500 0.3765
Cl1 0.1578 0.7500 0.3156
Cl2 0.5111 0.7500 0.0222
Cl3 0.4889 0.2500 0.9778
Cl4 0.8422 0.2500 0.6844

Values from the calculation:
- Space group: No. 63
- Crystal system: orthorhombic
- Fermi-level density of states: 2.8 states/eV per cell

5.
The following is a DFT calculation (SCAN) of a crystal of BrCl relaxed with PBEsol.

a b c (Å): 4.2066 4.2066 6.8500
angles (deg): 72.12 72.12 60.00
Positions (direct):
Br1 0.1268 0.1268 0.6197
Br2 0.8732 0.8732 0.3803
Cl1 0.6201 0.6201 0.1397
Cl2 0.3799 0.3799 0.8603

Values from the calculation:
- Space group: No. 166
- Crystal system: trigonal
- Fermi-level density of states: 4.3 states/eV per cell

6.
The following is a DFT calculation (SCAN) of a crystal of BrCl2 relaxed with PBEsol.

a b c (Å): 3.9100 4.9381 10.5135
angles (deg): 100.16 90.00 113.32
Positions (direct):
Br1 0.9531 0.9061 0.1775
Br2 0.0469 0.0939 0.8225
Cl1 0.6117 0.2235 0.5115
Cl2 0.2895 0.5789 0.8334
Cl3 0.7105 0.4211 0.1666
Cl4 0.3883 0.7765 0.4885

Values from the calculation:
- Space group: No. 12
- Crystal system: monoclinic

7.
The following is a DFT calculation (SCAN) of a crystal of CoBrCl2 relaxed with PBEsol.

a b c (Å): 3.0055 3.0055 9.0133
angles (deg): 90.00 90.00 90.00
Site moments in Bohr magnetons follow the coordinates.
Positions (direct):
Co1 0.0000 0.0000 0.4894  2.47
Br1 0.5000 0.5000 0.6749  0.10
Cl1 0.0000 0.0000 0.9997  0.06
Cl2 0.5000 0.5000 0.3360  0.19

Values from the calculation:
- Space group: No. 99
- Crystal system: tetragonal
- Fermi-level density of states: 1.4 states/eV per cell

8.
The following is a DFT calculation (SCAN) of a crystal of CoBrCl2 relaxed with PBEsol.

a b c (Å): 3.2034 5.9275 5.7063
angles (deg): 121.29 106.30 90.00
Site moments in Bohr magnetons follow the coordinates.
Positions (direct):
Co1 0.5038 0.5038 0.0075  1.48
Br1 0.8265 0.3265 0.6530  0.01
Cl1 0.0060 0.0060 0.0119  0.33
Cl2 0.1637 0.6637 0.3275  0.01

Values from the calculation:
- Space group: No. 44
- Crystal system: orthorhombic
- Fermi-level density of states: 2.8 states/eV per cell

9.
The following is a DFT calculation (SCAN) of a crystal of CoBrCl2 relaxed with PBEsol.

a b c (Å): 3.1222 4.8962 4.8962
angles (deg): 90.00 90.00 90.00
Site moments in Bohr magnetons follow the coordinates.
Positions (direct):
Co1 0.5000 0.5000 0.5000  2.42
Br1 0.5000 0.0000 0.0000  0.05
Cl1 0.0000 0.0000 0.5000  0.08
Cl2 0.0000 0.5000 0.0000  0.08

Values from the calculation:
- Space group: No. 123
- Crystal system: tetragonal
- Fermi-level density of states: 3.7 states/eV per cell

10.
The following is a DFT calculation (SCAN) of a crystal of CoBr3Cl relaxed with PBEsol.

a b c (Å): 5.8405 6.5653 7.7945
angles (deg): 88.20 81.85 77.74
Positions (direct):
Co1 0.7939 0.1648 0.6220
Co2 0.2986 0.1654 0.6221
Br1 0.1279 0.9516 0.4642
Br2 0.7178 0.8370 0.1991
Br3 0.0152 0.1105 0.8555
Br4 0.5959 0.8903 0.6999
Br5 0.5780 0.2213 0.3826
Br6 0.9954 0.4389 0.5462
Cl1 0.4721 0.3633 0.7653
Cl2 0.8409 0.5399 0.0499

Values from the calculation:
- Space group: No. 1
- Crystal system: triclinic
- Fermi-level density of states: 0.0 states/eV per cell

Sequential raw formation energy output: 0.6451 -0.0581 0.7591 0.1232 0.5888 0.0488 -0.0167 -0.2617 0.5585 -0.4152 eV/atom
Sequential total magnetization output: 0.0 0.0 0.0 0.0 0.0 0.0 2.9 2.0 2.7 0.0 Bohr magnetons per cell
Sequential final energy output: -11.160 -13.777 -12.960 -11.682 -13.130 -11.756 -13.197 -13.442 -12.621 -17.147 eV per atom